1.
Dy2Al3Ir (PBE-GGA, optimized geometry); ΔE_f = -0.711 eV/atom; calculated total energy = -33.556 eV/cell; space-group type = R-3m, No. 166
1.0
2.738 1.581 4.411
-2.738 1.581 4.411
0.000 -3.161 4.411
Dy Al Ir
2 3 1
Direct
0.127 0.127 0.127
0.873 0.873 0.873
0.000 0.500 0.500
0.500 0.000 0.500
0.500 0.500 0.000
0.500 0.500 0.500

=====

2.
Nb5AlGa2 (PBE-GGA, optimized geometry); ΔE_f = -0.316 eV/atom; calculated total energy = -125.338 eV/cell; space-group type = I4/mcm, No. 140
1.0
-3.417 3.417 5.935
3.417 -3.417 5.935
3.417 3.417 -5.935
Nb Al Ga
10 2 4
Direct
0.000 0.000 0.000
0.007 0.507 0.826
0.181 0.007 0.500
0.319 0.819 0.826
0.493 0.319 0.500
0.500 0.500 0.000
0.507 0.681 0.500
0.681 0.181 0.174
0.819 0.993 0.500
0.993 0.493 0.174
0.250 0.250 0.000
0.750 0.750 0.000
0.134 0.366 0.500
0.366 0.866 0.233
0.634 0.134 0.767
0.866 0.634 0.500

=====

3.
NdMgZn2Pt (PBE-GGA, optimized geometry); ΔE_f = -0.582 eV/atom; calculated total energy = -17.861 eV/cell; space-group type = Imm2, No. 44
1.0
-1.953 2.110 6.189
1.953 -2.110 6.189
1.953 2.110 -6.189
Nd Mg Zn Pt
1 1 2 1
Direct
0.000 0.000 0.000
0.260 0.760 0.500
0.618 0.618 0.000
0.768 0.268 0.500
0.409 0.409 0.000

=====

Copy entry 3 word for word.
NdMgZn2Pt (PBE-GGA, optimized geometry); ΔE_f = -0.582 eV/atom; calculated total energy = -17.861 eV/cell; space-group type = Imm2, No. 44
1.0
-1.953 2.110 6.189
1.953 -2.110 6.189
1.953 2.110 -6.189
Nd Mg Zn Pt
1 1 2 1
Direct
0.000 0.000 0.000
0.260 0.760 0.500
0.618 0.618 0.000
0.768 0.268 0.500
0.409 0.409 0.000

=====

- Look up the ΔE_f of the first one.
  -0.711 eV/atom

=====

Please write out number 2 again, unchanged.
Nb5AlGa2 (PBE-GGA, optimized geometry); ΔE_f = -0.316 eV/atom; calculated total energy = -125.338 eV/cell; space-group type = I4/mcm, No. 140
1.0
-3.417 3.417 5.935
3.417 -3.417 5.935
3.417 3.417 -5.935
Nb Al Ga
10 2 4
Direct
0.000 0.000 0.000
0.007 0.507 0.826
0.181 0.007 0.500
0.319 0.819 0.826
0.493 0.319 0.500
0.500 0.500 0.000
0.507 0.681 0.500
0.681 0.181 0.174
0.819 0.993 0.500
0.993 0.493 0.174
0.250 0.250 0.000
0.750 0.750 0.000
0.134 0.366 0.500
0.366 0.866 0.233
0.634 0.134 0.767
0.866 0.634 0.500